[1]
Compound: KTaSb2
Source: the Alexandria database
Functional: PBE
Structure: optimized geometry

The structure belongs to space group Amm2 (No. 38); the cell edges are 3.764, 3.185 and 17.928 Å and the angles 90.00°, 90.00° and 90.00°. The asymmetric unit holds K at (0.000, 0.000, 0.000), Ta at (0.000, 0.000, 0.759), Sb at (0.500, 0.000, 0.164) and Sb at (0.500, 0.000, 0.353).

The calculation puts the energy relative to the lowest polymorph listed for this composition at 3.8 kJ per mole of atoms.



[2]
Compound: Th2Ni4Ge3Rh
Source: the Alexandria database
Functional: PBE
Structure: optimized geometry

The structure belongs to space group P-4m2 (No. 115); the cell edges are 4.076, 4.076 and 10.145 Å and the angles 90.00°, 90.00° and 90.00°. The asymmetric unit holds Th at (0.000, 0.500, 0.247), Ni at (0.000, 0.000, 0.500), Ni at (0.000, 0.500, 0.856), Ni at (0.500, 0.500, 0.500), Ge at (0.000, 0.000, 0.000), Ge at (0.000, 0.500, 0.623) and Rh at (0.500, 0.500, 0.000).

As for the formation energy: -0.6454 eV/atom.



[3]
Compound: PaTe2RhN
Source: the Alexandria database
Functional: PBE
Structure: optimized geometry

The structure belongs to space group P4/nmm (No. 129, origin choice 2); the cell edges are 3.890, 3.890 and 14.353 Å and the angles 90.00°, 90.00° and 90.00°. The asymmetric unit holds Pa at (0.250, 0.250, 0.084), Te at (0.250, 0.250, 0.422), Te at (0.250, 0.250, 0.794), Rh at (0.250, 0.250, 0.606) and N at (0.250, 0.750, 0.000).

The calculation puts the total energy at -73.18 eV for the cell shown.



[4]
Compound: Tb8HgTe4P3
Source: the Alexandria database
Functional: PBE
Structure: optimized geometry

The structure belongs to space group R-3m (No. 166, hexagonal axes); the cell edges are 8.4073, 8.4073 and 21.1392 Å and the angles 90.00°, 90.00° and 120.00°. The asymmetric unit holds Tb at (0.0000, 0.0000, 0.2363), Tb at (0.0118, 0.5059, 0.7595), Hg at (0.0000, 0.0000, 0.5000), Te at (0.0000, 0.0000, 0.0000), Te at (0.0000, 0.5000, 0.0000) and P at (0.0000, 0.5000, 0.5000).

The calculation puts the total energy at -263.86 eV for the cell shown.



[5]
Compound: CaTl2Hg5
Source: the Alexandria database
Functional: PBE
Structure: optimized geometry

The structure belongs to space group I4/mcm (No. 140); the cell edges are 8.318, 8.318 and 13.063 Å and the angles 90.00°, 90.00° and 90.00°. The asymmetric unit holds Ca at (0.000, 0.000, 0.250), Tl at (0.152, 0.348, 0.000), Hg at (0.000, 0.000, 0.000) and Hg at (0.148, 0.352, 0.329).

As for the formation energy: -0.1517 eV/atom. The calculation puts the energy relative to the lowest polymorph listed for this composition at 4.3 kJ per mole of atoms.



[6]
Compound: Th2Zn6Co9
Source: the Alexandria database
Functional: PBE
Structure: optimized geometry

The structure belongs to space group P6/mmm (No. 191); the cell edges are 5.0871, 5.0871 and 12.1950 Å and the angles 90.00°, 90.00° and 120.00°. The asymmetric unit holds Th at (0.0000, 0.0000, 0.2145), Zn at (0.3333, 0.6667, 0.0000), Zn at (0.3333, 0.6667, 0.3336), Co at (0.0000, 0.5000, 0.1658) and Co at (0.0000, 0.5000, 0.5000).

As for the formation energy: 0.0303 eV/atom.



[7]
Compound: Nd2HoRu
Source: the Alexandria database
Functional: PBE
Structure: optimized geometry

The structure belongs to space group Pnma (No. 62); the cell edges are 7.367, 9.642 and 6.384 Å and the angles 90.00°, 90.00° and 90.00°. The asymmetric unit holds Nd at (0.177, 0.065, 0.170), Ho at (0.044, 0.250, 0.645) and Ru at (0.116, 0.750, 0.960).

As for the formation energy: -0.2281 eV/atom. The calculation puts the energy relative to the lowest polymorph listed for this composition at 0.0 kJ per mole of atoms.



[8]
Compound: Sr2SmCd3
Source: the Alexandria database
Functional: PBE
Structure: optimized geometry

The structure belongs to space group Cmmm (No. 65); the cell edges are 5.624, 16.824 and 7.929 Å and the angles 90.00°, 90.00° and 90.00°. The asymmetric unit holds Sr at (0.000, 0.000, 0.000), Sr at (0.000, 0.000, 0.500), Sr at (0.000, 0.334, 0.000), Sm at (0.000, 0.334, 0.500), Cd at (0.000, 0.172, 0.273) and Cd at (0.000, 0.500, 0.266).

As for the formation energy: -0.3141 eV/atom. The calculation puts the energy relative to the lowest polymorph listed for this composition at 0.7 kJ per mole of atoms.



[9]
Compound: LaPSe2
Source: the Alexandria database
Functional: PBE
Structure: optimized geometry

The structure belongs to space group P4/mmm (No. 123); the cell edges are 4.057, 4.057 and 5.752 Å and the angles 90.00°, 90.00° and 90.00°. The asymmetric unit holds La at (0.000, 0.000, 0.000), P at (0.000, 0.000, 0.500) and Se at (0.500, 0.500, 0.258).

The calculation puts the total energy at -19.72 eV for the cell shown.



[10]
Compound: Li2Mg3Cd3Pd
Source: the Alexandria database
Functional: PBE
Structure: optimized geometry

The structure belongs to space group P-62m (No. 189); the cell edges are 8.0169, 8.0169 and 3.1016 Å and the angles 90.00°, 90.00° and 120.00°. The asymmetric unit holds Li at (0.3333, 0.6667, 0.0000), Mg at (0.0000, 0.7240, 0.0000), Cd at (0.0000, 0.3777, 0.5000) and Pd at (0.0000, 0.0000, 0.5000).

As for the formation energy: -0.2807 eV/atom.



[11]
Compound: Cs3Tl2Te4
Source: the Alexandria database
Functional: PBE
Structure: optimized geometry

The structure belongs to space group C2/m (No. 12); the cell edges are 16.424, 5.296 and 11.294 Å and the angles 90.00°, 119.00° and 90.00°. The asymmetric unit holds Cs at (0.000, 0.000, 0.000), Cs at (0.119, 0.500, 0.720), Tl at (0.185, 0.500, 0.350), Te at (0.114, 0.000, 0.410) and Te at (0.196, 0.500, 0.106).

The calculation puts the energy relative to the lowest polymorph listed for this composition at 1.4 kJ per mole of atoms.



[12]
Compound: KSc2RuO8
Source: the Alexandria database
Functional: PBE
Structure: optimized geometry

The structure belongs to space group P2/m (No. 10); the cell edges are 4.760, 7.184 and 4.827 Å and the angles 90.00°, 90.40° and 90.00°. The asymmetric unit holds K at (0.000, 0.000, 0.000), Sc at (0.500, 0.285, 0.500), Ru at (0.000, 0.500, 0.000), O at (0.201, 0.316, 0.811), O at (0.290, 0.500, 0.301) and O at (0.380, 0.000, 0.400).

The calculation puts the total energy at -84.44 eV for the cell shown.



[13]
Compound: Y4MnOs2
Source: the Alexandria database
Functional: PBE
Structure: optimized geometry

The structure belongs to space group I4/mmm (No. 139); the cell edges are 5.270, 5.270 and 13.117 Å and the angles 90.00°, 90.00° and 90.00°. The asymmetric unit holds Y at (0.000, 0.000, 0.202), Y at (0.000, 0.500, 0.000), Mn at (0.000, 0.000, 0.000) and Os at (0.000, 0.000, 0.402).

As for the formation energy: 0.5355 eV/atom.



[14]
Compound: PbIF
Source: the Alexandria database
Functional: PBE
Structure: optimized geometry

The structure belongs to space group P-6m2 (No. 187); the cell edges are 4.3578, 4.3578 and 4.8856 Å and the angles 90.00°, 90.00° and 120.00°. The asymmetric unit holds Pb at (0.0000, 0.0000, 0.0000), I at (0.6667, 0.3333, 0.5000) and F at (0.3333, 0.6667, 0.0000).

The calculation puts the energy relative to the lowest polymorph listed for this composition at 6.6 kJ per mole of atoms.



[15]
Compound: PrZr2Pd
Source: the Alexandria database
Functional: PBE
Structure: optimized geometry

The structure belongs to space group P4/mmm (No. 123); the cell edges are 3.434, 3.434 and 7.886 Å and the angles 90.00°, 90.00° and 90.00°. The asymmetric unit holds Pr at (0.000, 0.000, 0.000), Zr at (0.500, 0.500, 0.298) and Pd at (0.000, 0.000, 0.500).

As for the formation energy: -0.1972 eV/atom.



[16]
Compound: Ba2HPb
Source: the Alexandria database
Functional: PBE
Structure: optimized geometry

The structure belongs to space group P2/c (No. 13); the cell edges are 7.291, 6.594 and 13.297 Å and the angles 90.00°, 118.42° and 90.00°. The asymmetric unit holds Ba at (0.030, 0.236, 0.425), Ba at (0.317, 0.232, 0.839), H at (0.018, 0.165, 0.626) and Pb at (0.494, 0.269, 0.133).

The calculation puts the energy relative to the lowest polymorph listed for this composition at 2.0 kJ per mole of atoms.



[17]
Compound: YPaN2
Source: the Alexandria database
Functional: PBE
Structure: optimized geometry

The structure belongs to space group P6_3/mmc (No. 194); the cell edges are 3.5116, 3.5116 and 11.3849 Å and the angles 90.00°, 90.00° and 120.00°. The asymmetric unit holds Y at (0.3333, 0.6667, 0.2500), Pa at (0.0000, 0.0000, 0.0000) and N at (0.3333, 0.6667, 0.6141).

The calculation puts the total energy at -78.30 eV for the cell shown.



[18]
Compound: CeMn6Ge6
Source: the Alexandria database
Functional: PBE
Structure: optimized geometry

The structure belongs to space group Immm (No. 71); the cell edges are 5.185, 8.196 and 8.952 Å and the angles 90.00°, 90.00° and 90.00°. The asymmetric unit holds Ce at (0.000, 0.000, 0.000), Mn at (0.000, 0.250, 0.500), Mn at (0.250, 0.250, 0.250), Ge at (0.000, 0.000, 0.338), Ge at (0.000, 0.347, 0.000) and Ge at (0.000, 0.500, 0.329).

As for the formation energy: -0.2876 eV/atom.



[19]
Compound: NaMg2TcN4
Source: the Alexandria database
Functional: PBE
Structure: optimized geometry

The structure belongs to space group Pmn2_1 (No. 31); the cell edges are 7.170, 5.733 and 5.433 Å and the angles 90.00°, 90.00° and 90.00°. The asymmetric unit holds Na at (0.000, 0.166, 0.000), Mg at (0.245, 0.326, 0.514), Tc at (0.000, 0.812, 0.521), N at (0.000, 0.128, 0.455), N at (0.000, 0.769, 0.854) and N at (0.206, 0.671, 0.395).

The calculation puts the total energy at -103.81 eV for the cell shown.



[20]
Compound: PmGePd2
Source: the Alexandria database
Functional: PBE
Structure: optimized geometry

The structure belongs to space group Fm-3m (No. 225); the cell edges are 6.745, 6.745 and 6.745 Å and the angles 90.00°, 90.00° and 90.00°. The asymmetric unit holds Pm at (0.000, 0.000, 0.000), Ge at (0.000, 0.000, 0.500) and Pd at (0.250, 0.250, 0.250).

As for the formation energy: -0.6531 eV/atom.



[21]
Compound: GaP2I2
Source: the Alexandria database
Functional: PBE
Structure: optimized geometry

The structure belongs to space group P4/mbm (No. 127); the cell edges are 8.761, 8.761 and 3.548 Å and the angles 90.00°, 90.00° and 90.00°. The asymmetric unit holds Ga at (0.000, 0.000, 0.000), P at (0.196, 0.304, 0.500) and I at (0.144, 0.644, 0.000).

The calculation puts the energy relative to the lowest polymorph listed for this composition at 48.2 kJ per mole of atoms.



[22]
Compound: TbPuAu4
Source: the Alexandria database
Functional: PBE
Structure: optimized geometry

The structure belongs to space group P2/m (No. 10); the cell edges are 5.549, 4.245 and 6.913 Å and the angles 90.00°, 109.94° and 90.00°. The asymmetric unit holds Tb at (0.000, 0.000, 0.000), Pu at (0.500, 0.500, 0.500), Au at (0.066, 0.500, 0.722) and Au at (0.436, 0.000, 0.783).

As for the formation energy: -0.4397 eV/atom. The calculation puts the energy relative to the lowest polymorph listed for this composition at 18.6 kJ per mole of atoms.